Compound: Hf4Tc3Os
Source: the Alexandria database
Functional: GGA-PBE
Structure: relaxed

Computed properties:
space-group type	No. 47
E	-10.82	eV/atom

Unit cell a=3.2531 b=4.6113 c=9.2320 alpha=90.00 beta=90.00 gamma=90.00
Element x y z (fractional)
Hf  0.0000  0.0000  0.0000
Hf  0.0000  0.0000  0.5000
Hf  0.0000  0.5000  0.2498
Hf  0.0000  0.5000  0.7502
Tc  0.5000  0.0000  0.2492
Tc  0.5000  0.0000  0.7508
Tc  0.5000  0.5000  0.5000
Os  0.5000  0.5000  0.0000

Compound: HPt2RhAu
Source: the Alexandria database
Functional: GGA-PBE
Structure: relaxed

Computed properties:
polymorph energy (0 for the lowest one)	0.0000	eV/atom
space-group type	No. 123

Unit cell a=4.0583 b=4.0583 c=4.0183 alpha=90.00 beta=90.00 gamma=90.00
Element x y z (fractional)
H  0.0000  0.0000  0.0000
Pt  0.0000  0.5000  0.0000
Pt  0.5000  0.0000  0.0000
Rh  0.0000  0.0000  0.5000
Au  0.5000  0.5000  0.5000